No. 1
Computed, not measured: an optimized crystal structure of NaYRu3 at the GGA-PBEsol level of DFT.

Results
The crystal system is cubic. The value obtained for the electronic total energy is -5.973 eV per atom. The density of states at the Fermi level is 9.9 states/eV per cell. For the formation energy, the calculation gives 1.7745 eV/atom. The calculation puts the calculated density at 7.625 Mg/m³.

a = 4.488 Å, b = 4.488 Å, c = 4.488 Å
α = 90.00°, β = 90.00°, γ = 90.00°
Space group Pm-3m (No. 221)
Inequivalent atoms, fractional coordinates:
Na (0.000, 0.000, 0.000) x1
Y (0.500, 0.500, 0.500) x1
Ru (0.000, 0.000, 0.500) x3

=====

No. 2
Computed, not measured: an optimized crystal structure of SrCdW2 at the GGA-PBEsol level of DFT.

Results
The crystal system is monoclinic. The value obtained for the electronic total energy is -6.800 eV per atom. The density of states at the Fermi level is 6.6 states/eV per cell. For the formation energy, the calculation gives 0.8627 eV/atom. The calculation puts the calculated density at 11.053 Mg/m³.

a = 9.048 Å, b = 2.772 Å, c = 6.815 Å
α = 90.00°, β = 93.46°, γ = 90.00°
Space group Cm (No. 8)
Inequivalent atoms, fractional coordinates:
Sr (0.000, 0.000, 0.000) x2
Cd (0.254, 0.500, 0.311) x2
W (0.242, 0.000, 0.698) x2
W (0.490, 0.000, 0.539) x2

=====

No. 3
Computed, not measured: an optimized crystal structure of TlInCl3 at the GGA-PBEsol level of DFT.

Results
The crystal system is cubic. The value obtained for the electronic total energy is -3.217 eV per atom. The raw formation energy is -889 meV per atom. The density of states at the Fermi level is 0.9 states/eV per cell. The calculation puts the calculated density at 4.785 Mg/m³.

a = 5.286 Å, b = 5.286 Å, c = 5.286 Å
α = 90.00°, β = 90.00°, γ = 90.00°
Space group Pm-3m (No. 221)
Inequivalent atoms, fractional coordinates:
Tl (0.000, 0.000, 0.000) x1
In (0.500, 0.500, 0.500) x1
Cl (0.000, 0.500, 0.500) x3

=====

No. 4
Computed, not measured: an optimized crystal structure of NiAsPb at the GGA-PBEsol level of DFT.

Results
The crystal system is hexagonal. The value obtained for the electronic total energy is -5.164 eV per atom. The density of states at the Fermi level is 1.9 states/eV per cell. For the formation energy, the calculation gives -0.0764 eV/atom. The calculation puts the calculated density at 9.409 Mg/m³.

a = 3.9596 Å, b = 3.9596 Å, c = 4.4299 Å
α = 90.00°, β = 90.00°, γ = 120.00°
Space group P-6m2 (No. 187)
Inequivalent atoms, fractional coordinates:
Ni (0.0000, 0.0000, 0.0000) x1
As (0.6667, 0.3333, 0.0000) x1
Pb (0.3333, 0.6667, 0.5000) x1

=====

Magnetization: 0.19, 0.00, 0.00, 0.00 (μB/atom)